The following is a DFT calculation (GGA-PBE) of PmCdMo after structural relaxation.

Cell: 4.9347 4.9347 4.9347 Å, 60.00 60.00 60.00°
Last column: nearest neighbours and their distance in Å.
Sites, in units of the cell vectors:
Pm 0.0000 0.0000 0.0000  4 Cd 3.02, 4 Mo 3.02
Cd 0.7500 0.7500 0.7500  4 Pm 3.02
Mo 0.2500 0.2500 0.2500  4 Pm 3.02

Results
**Raw total energy**: -4.30 eV per atom
**Relative energy among the computed polymorphs**: 1.133 eV per formula unit
**Magnetization**: 3.0 μB/f.u.
**Energy relative to the elements**: 1.19 eV per atom